[1]
Li3TcN2 | PBE-GGA | relaxed

Properties
total magnetic moment = 0.00 μB/atom
uncorrected formation energy = -1.03 eV per formula unit
V = 9.379 A^3/atom
space-group type = Pn-3m (224)
density of states at the Fermi level = 0.446 states/eV/atom

Unit cell a=4.8282 b=4.8282 c=4.8282 alpha=90.00 beta=90.00 gamma=90.00
Sites, in units of the cell vectors:
Tc 0.7500 0.7500 0.2500
N 0.5000 0.5000 0.0000
N 0.0000 0.5000 0.5000
Li 0.7499 0.2501 0.7499
N 0.5000 0.0000 0.5000
Li 0.2501 0.7499 0.2501
Li 0.7499 0.7499 0.7499
N 0.0000 0.0000 0.0000
Tc 0.2500 0.2500 0.7500
Li 0.2501 0.2501 0.2501
Li 0.2501 0.7499 0.7499
Li 0.7499 0.2501 0.2501

***

[2]
LiTcN3 | PBE-GGA | relaxed

Properties
total magnetic moment = 0.00 μB/atom
uncorrected formation energy = 2.64 eV per formula unit
V = 11.539 A^3/atom
space-group type = Pm-3m (221)
density of states at the Fermi level = 0.501 states/eV/atom

Unit cell a=3.8640 b=3.8640 c=3.8640 alpha=90.00 beta=90.00 gamma=90.00
Sites, in units of the cell vectors:
N 0.0000 0.0000 0.5000
Li 0.5000 0.5000 0.5000
Tc 0.0000 0.0000 0.0000
N 0.5000 0.0000 0.0000
N 0.0000 0.5000 0.0000

***

[3]
Li6TcN4 | PBE-GGA | relaxed

Properties
total magnetic moment = 0.09 μB/atom
uncorrected formation energy = -6.01 eV per formula unit
V = 9.977 A^3/atom
space-group type = P4_2/nmc (137)
density of states at the Fermi level = 0.182 states/eV/atom

Unit cell a=4.9049 b=6.6895 c=6.6895 alpha=90.00 beta=90.00 gamma=90.00
Last column: magnetic moment on the atom in μB.
Sites, in units of the cell vectors:
N 0.8109 0.2549 0.5000  0.04
N 0.6891 0.2451 0.0000  0.04
Li 0.0000 0.7869 0.2131  0.01
Li 0.5937 0.0000 0.5000  0.02
Li 0.0000 0.2131 0.7869  0.01
Li 0.0937 0.0000 0.5000  0.02
Li 0.0000 0.2131 0.2131  0.01
N 0.1891 0.5000 0.7451  0.04
Li 0.4063 0.5000 0.0000  0.02
Li 0.5000 0.2869 0.7131  0.01
Li 0.9063 0.5000 0.0000  0.02
Tc 0.5000 0.0000 0.0000  0.59
Li 0.5000 0.7131 0.7131  0.01
Li 0.5000 0.7131 0.2869  0.01
N 0.6891 0.7549 0.0000  0.04
N 0.8109 0.7451 0.5000  0.04
Tc 0.0000 0.5000 0.5000  0.59
Li 0.0000 0.7869 0.7869  0.01
N 0.3109 0.0000 0.2451  0.04
N 0.3109 0.0000 0.7549  0.04
Li 0.5000 0.2869 0.2869  0.01
N 0.1891 0.5000 0.2549  0.04

***

[4]
Li4TcN4 | PBE-GGA | relaxed

Properties
total magnetic moment = 0.11 μB/atom
uncorrected formation energy = -2.68 eV per formula unit
V = 11.288 A^3/atom
space-group type = Cmcm (63)
density of states at the Fermi level = 0.351 states/eV/atom

Unit cell a=5.7467 b=5.7467 c=6.1552 alpha=90.00 beta=90.00 gamma=91.66
Last column: magnetic moment on the atom in μB.
Sites, in units of the cell vectors:
Li 0.8448 0.1552 0.0000  0.01
Li 0.4297 0.1331 0.2500  0.00
N 0.2662 0.6397 0.7500  0.25
Li 0.8448 0.1552 0.5000  0.01
Li 0.1331 0.4297 0.2500  0.00
N 0.7995 0.7995 0.0075  0.15
N 0.2005 0.2005 0.5075  0.15
Tc 0.6712 0.6712 0.2500  -0.11
N 0.2005 0.2005 0.9925  0.15
N 0.3603 0.7338 0.2500  0.25
N 0.7995 0.7995 0.4925  0.15
Tc 0.3288 0.3288 0.7500  -0.11
Li 0.1552 0.8448 0.5000  0.01
N 0.7338 0.3603 0.2500  0.25
Li 0.5703 0.8669 0.7500  0.00
Li 0.8669 0.5703 0.7500  0.00
Li 0.1552 0.8448 0.0000  0.01
N 0.6397 0.2662 0.7500  0.25

***

[5]
Li2TcN2 | PBE-GGA | relaxed

Properties
total magnetic moment = 0.00 μB/atom
uncorrected formation energy = -1.12 eV per formula unit
V = 9.272 A^3/atom
space-group type = P4/mbm (127)
density of states at the Fermi level = 0.269 states/eV/atom

Unit cell a=5.4644 b=5.4644 c=3.1051 alpha=90.00 beta=90.00 gamma=90.00
Sites, in units of the cell vectors:
Tc 0.0000 0.0000 0.0000
N 0.6849 0.1849 0.0000
Li 0.8631 0.3631 0.5000
Tc 0.5000 0.5000 0.0000
Li 0.6369 0.8631 0.5000
Li 0.1369 0.6369 0.5000
Li 0.3631 0.1369 0.5000
N 0.8151 0.6849 0.0000
N 0.3151 0.8151 0.0000
N 0.1849 0.3151 0.0000

***

[6]
Li2TcN3 | PBE-GGA | relaxed

Properties
total magnetic moment = 0.00 μB/atom
uncorrected formation energy = -1.62 eV per formula unit
V = 12.556 A^3/atom
space-group type = Cmc2_1 (36)

Unit cell a=5.6758 b=5.3306 c=5.6758 alpha=90.00 beta=118.67 gamma=90.00
Sites, in units of the cell vectors:
N 0.5410 0.5468 0.8324
Li 0.4942 0.9515 0.8269
N 0.1428 0.5940 0.1428
N 0.8324 0.5468 0.5410
N 0.1676 0.0468 0.4590
Tc 0.1594 0.9515 0.1594
Li 0.5058 0.4515 0.1731
Li 0.1731 0.4515 0.5058
Li 0.8269 0.9515 0.4942
Tc 0.8406 0.4515 0.8406
N 0.4590 0.0468 0.1676
N 0.8572 0.0940 0.8572

***

[7]
LiTcN2 | PBE-GGA | relaxed

Properties
total magnetic moment = 0.00 μB/atom
uncorrected formation energy = 0.28 eV per formula unit
V = 11.411 A^3/atom
space-group type = R-3m (166)
density of states at the Fermi level = 0.175 states/eV/atom

Unit cell a=6.2812 b=6.2812 c=6.2812 alpha=27.19 beta=27.19 gamma=27.19
Sites, in units of the cell vectors:
N 0.1022 0.1022 0.1022
Tc 0.5000 0.5000 0.5000
Li 0.0000 0.0000 0.0000
N 0.8978 0.8978 0.8978

***

[8]
LiTcN2 | PBE-GGA | relaxed

Properties
total magnetic moment = 0.00 μB/atom
uncorrected formation energy = -0.92 eV per formula unit
V = 12.365 A^3/atom
space-group type = I-42d (122)
density of states at the Fermi level = 0.137 states/eV/atom

Unit cell a=4.6499 b=4.6499 c=5.6339 alpha=65.63 beta=65.63 gamma=90.00
Sites, in units of the cell vectors:
Li 0.5000 0.5000 0.0000
N 0.0809 0.6250 0.2500
Li 0.2500 0.7500 0.5000
Tc 0.0000 0.0000 0.0000
N 0.8750 0.9191 0.7500
Tc 0.7500 0.2500 0.5000
N 0.3750 0.3309 0.7500
N 0.6691 0.1250 0.2500

***

[9]
Li2TcN2 | PBE-GGA | relaxed

Properties
total magnetic moment = 0.00 μB/atom
uncorrected formation energy = -1.98 eV per formula unit
V = 11.429 A^3/atom
space-group type = Pbcn (60)
density of states at the Fermi level = 0.203 states/eV/atom

Unit cell a=4.9797 b=5.1904 c=8.8433 alpha=90.00 beta=90.00 gamma=90.00
Sites, in units of the cell vectors:
N 0.2016 0.9997 0.1232
Li 0.9993 0.7511 0.6929
Li 0.0007 0.2489 0.3071
N 0.7984 0.4997 0.1232
N 0.2016 0.5003 0.8768
Li 0.4993 0.7489 0.1929
Li 0.4993 0.7511 0.8071
N 0.2984 0.0003 0.6232
N 0.7984 0.0003 0.8768
Tc 0.0004 0.2500 0.0000
Li 0.0007 0.2511 0.6929
Li 0.5007 0.2489 0.1929
N 0.7016 0.9997 0.3768
N 0.2984 0.4997 0.3768
Li 0.9993 0.7489 0.3071
Li 0.5007 0.2511 0.8071
Tc 0.9996 0.7500 0.0000
Tc 0.5004 0.2500 0.5000
Tc 0.4996 0.7500 0.5000
N 0.7016 0.5003 0.6232

***

[10]
Li4Tc2N | PBE-GGA | relaxed

Properties
total magnetic moment = 0.00 μB/atom
uncorrected formation energy = 1.59 eV per formula unit
V = 15.241 A^3/atom
space-group type = I4/mmm (139)
density of states at the Fermi level = 0.349 states/eV/atom

Unit cell a=3.5050 b=3.5050 c=9.0311 alpha=78.81 beta=78.81 gamma=90.00
Sites, in units of the cell vectors:
N 0.0000 0.0000 0.0000
Li 0.8870 0.8870 0.2259
Li 0.1130 0.1130 0.7741
Li 0.5000 0.0000 0.0000
Tc 0.7350 0.7350 0.5301
Li 0.0000 0.5000 0.0000
Tc 0.2650 0.2650 0.4699

***

[11]
Li2TcN | PBE-GGA | relaxed

Properties
total magnetic moment = 0.00 μB/atom
uncorrected formation energy = 0.35 eV per formula unit
V = 11.844 A^3/atom
space-group type = I-42d (122)
density of states at the Fermi level = 0.558 states/eV/atom

Unit cell a=6.9789 b=6.9789 c=5.3045 alpha=48.86 beta=48.86 gamma=90.00
Sites, in units of the cell vectors:
Li 0.5215 0.1250 0.2500
N 0.2500 0.7500 0.5000
Tc 0.0000 0.0000 0.0000
Li 0.8750 0.7715 0.7500
Li 0.3750 0.4785 0.7500
Li 0.2285 0.6250 0.2500
N 0.5000 0.5000 0.0000
Tc 0.7500 0.2500 0.5000

***

[12]
LiTcN2 | PBE-GGA | relaxed

Properties
total magnetic moment = 0.25 μB/atom
uncorrected formation energy = 3.01 eV per formula unit
V = 11.690 A^3/atom
space-group type = R-3m (166)
density of states at the Fermi level = 0.646 states/eV/atom

Unit cell a=6.6348 b=6.6348 c=6.6348 alpha=25.25 beta=25.25 gamma=25.25
Last column: magnetic moment on the atom in μB.
Sites, in units of the cell vectors:
Tc 0.0000 0.0000 0.0000  -0.18
Li 0.5000 0.5000 0.5000  0.00
N 0.0947 0.0947 0.0947  0.43
N 0.9053 0.9053 0.9053  0.43

***

[13]
Li7TcN3 | PBE-GGA | relaxed

Properties
total magnetic moment = 0.00 μB/atom
uncorrected formation energy = -3.35 eV per formula unit
V = 14.197 A^3/atom
space-group type = Cm (8)
density of states at the Fermi level = 0.254 states/eV/atom

Unit cell a=6.0666 b=6.1115 c=5.7252 alpha=76.48 beta=58.01 gamma=60.24
Sites, in units of the cell vectors:
N 0.0602 0.2629 0.6166
Li 0.8596 0.4238 0.3550
Li 0.3616 0.4238 0.3550
Li 0.8039 0.0853 0.8361
Tc 0.8278 0.5819 0.7624
Li 0.3355 0.9097 0.4194
N 0.0525 0.7474 0.6316
Li 0.2899 0.5994 0.8208
Li 0.2748 0.0853 0.8361
Li 0.8400 0.9156 0.4044
N 0.5685 0.7474 0.6316

***

[14]
LiTc3N | PBE-GGA | relaxed

Properties
total magnetic moment = 0.00 μB/atom
uncorrected formation energy = 0.75 eV per formula unit
V = 13.082 A^3/atom
space-group type = Pm-3m (221)
density of states at the Fermi level = 1.180 states/eV/atom

Unit cell a=4.0292 b=4.0292 c=4.0292 alpha=90.00 beta=90.00 gamma=90.00
Sites, in units of the cell vectors:
Tc 0.0000 0.5000 0.0000
N 0.0000 0.0000 0.0000
Li 0.5000 0.5000 0.5000
Tc 0.0000 0.0000 0.5000
Tc 0.5000 0.0000 0.0000

***

[15]
Li12TcN6 | PBE-GGA | relaxed

Properties
total magnetic moment = 0.05 μB/atom
uncorrected formation energy = -5.77 eV per formula unit
V = 9.923 A^3/atom
space-group type = R-3 (148)
density of states at the Fermi level = 0.209 states/eV/atom

Unit cell a=6.5560 b=6.5560 c=6.5560 alpha=112.52 beta=112.52 gamma=112.52
Last column: magnetic moment on the atom in μB.
Sites, in units of the cell vectors:
Li 0.4138 0.2025 0.5197  0.01
Li 0.9227 0.8101 0.2952  0.00
Li 0.5862 0.7975 0.4803  0.01
Li 0.7048 0.0773 0.1899  0.00
Li 0.7975 0.4803 0.5862  0.01
Tc 0.0000 0.0000 0.0000  0.73
Li 0.2952 0.9227 0.8101  0.00
N 0.5995 0.9138 0.8077  0.01
Li 0.0773 0.1899 0.7048  0.00
Li 0.1899 0.7048 0.0773  0.00
N 0.0862 0.1923 0.4005  0.01
Li 0.2025 0.5197 0.4138  0.01
N 0.4005 0.0862 0.1923  0.01
N 0.1923 0.4005 0.0862  0.01
Li 0.4803 0.5862 0.7975  0.01
Li 0.8101 0.2952 0.9227  0.00
N 0.9138 0.8077 0.5995  0.01
Li 0.5197 0.4138 0.2025  0.01
N 0.8077 0.5995 0.9138  0.01

***

[16]
LiTcN3 | PBE-GGA | relaxed

Properties
total magnetic moment = 0.00 μB/atom
uncorrected formation energy = 9.76 eV per formula unit
V = 8.313 A^3/atom
space-group type = Pm-3m (221)
density of states at the Fermi level = 0.927 states/eV/atom

Unit cell a=3.4640 b=3.4640 c=3.4640 alpha=90.00 beta=90.00 gamma=90.00
Sites, in units of the cell vectors:
N 0.0000 0.5000 0.0000
Li 0.0000 0.0000 0.0000
N 0.5000 0.0000 0.0000
N 0.0000 0.0000 0.5000
Tc 0.5000 0.5000 0.5000

***

[17]
LiTcN2 | PBE-GGA | relaxed

Properties
total magnetic moment = 0.00 μB/atom
uncorrected formation energy = -0.52 eV per formula unit
V = 9.746 A^3/atom
space-group type = R3m (160)
density of states at the Fermi level = 0.241 states/eV/atom

Unit cell a=2.8827 b=2.8827 c=5.6666 alpha=75.26 beta=75.26 gamma=60.00
Sites, in units of the cell vectors:
Li 0.4971 0.4971 0.5088
Tc 0.6676 0.6676 0.9971
N 0.0770 0.0770 0.7691
N 0.2583 0.2583 0.2250

***

[18]
Li4TcN3 | PBE-GGA | relaxed

Properties
total magnetic moment = 0.00 μB/atom
uncorrected formation energy = -3.71 eV per formula unit
V = 11.762 A^3/atom
space-group type = Cc (9)

Unit cell a=5.3868 b=5.5964 c=7.6721 alpha=109.03 beta=90.00 gamma=118.77
Sites, in units of the cell vectors:
N 0.9020 0.8814 0.7971
Li 0.8661 0.4082 0.1301
Li 0.2796 0.2217 0.9569
Tc 0.6354 0.9591 0.7359
N 0.3015 0.6272 0.6088
Li 0.5422 0.4082 0.6301
N 0.6610 0.3114 0.8556
Li 0.5411 0.6289 0.3428
N 0.9794 0.8814 0.2971
Li 0.7225 0.7418 0.0227
Li 0.0879 0.6289 0.8428
Li 0.9421 0.2217 0.4569
N 0.6504 0.3114 0.3556
Li 0.0193 0.7418 0.5227
Tc 0.3237 0.9591 0.2359
N 0.3257 0.6272 0.1088

***

[19]
LiTc3N | PBE-GGA | relaxed

Properties
total magnetic moment = 0.00 μB/atom
uncorrected formation energy = 11.48 eV per formula unit
V = 13.418 A^3/atom
space-group type = Pm-3m (221)
density of states at the Fermi level = 1.059 states/eV/atom

Unit cell a=4.0634 b=4.0634 c=4.0634 alpha=90.00 beta=90.00 gamma=90.00
Sites, in units of the cell vectors:
Tc 0.0000 0.0000 0.5000
Li 0.0000 0.0000 0.0000
Tc 0.0000 0.5000 0.0000
N 0.5000 0.5000 0.5000
Tc 0.5000 0.0000 0.0000

***

[20]
Li5TcN3 | PBE-GGA | relaxed

Properties
total magnetic moment = 0.00 μB/atom
uncorrected formation energy = -3.20 eV per formula unit
V = 9.637 A^3/atom
space-group type = C2/c (15)
density of states at the Fermi level = 0.400 states/eV/atom

Unit cell a=4.8938 b=5.9714 c=6.8591 alpha=106.76 beta=90.00 gamma=114.19
Sites, in units of the cell vectors:
Li 0.1031 0.6450 0.8998
Li 0.4581 0.3550 0.6002
N 0.0000 0.0000 0.5000
Li 0.0590 0.6604 0.4307
N 0.6085 0.3092 0.3208
Li 0.2867 0.0000 0.7500
Li 0.8969 0.3550 0.1002
Li 0.6014 0.6604 0.9307
N 0.3915 0.6908 0.6792
Li 0.3986 0.3396 0.0693
Tc 0.2158 0.0000 0.2500
N 0.0000 0.0000 0.0000
Li 0.7133 0.0000 0.2500
Li 0.5419 0.6450 0.3998
Li 0.9410 0.3396 0.5693
Tc 0.7842 0.0000 0.7500
N 0.2993 0.6908 0.1792
N 0.7007 0.3092 0.8208

***

[21]
Li4TcN2 | PBE-GGA | relaxed

Properties
total magnetic moment = 0.37 μB/atom
uncorrected formation energy = 4.67 eV per formula unit
V = 19.040 A^3/atom
space-group type = I4/mmm (139)
density of states at the Fermi level = 0.327 states/eV/atom

Unit cell a=5.0139 b=5.0139 c=6.3778 alpha=66.85 beta=66.85 gamma=90.00
Last column: magnetic moment on the atom in μB.
Sites, in units of the cell vectors:
N 0.4439 0.4439 0.1122  -0.10
Li 0.5000 0.0000 0.0000  0.01
Li 0.2643 0.2643 0.4713  0.00
N 0.5561 0.5561 0.8878  -0.10
Tc 0.0000 0.0000 0.0000  2.53
Li 0.7357 0.7357 0.5287  0.00
Li 0.0000 0.5000 0.0000  0.01

***

[22]
LiTcN2 | PBE-GGA | relaxed

Properties
total magnetic moment = 0.00 μB/atom
uncorrected formation energy = 1.41 eV per formula unit
V = 8.262 A^3/atom
space-group type = Fm-3m (225)
density of states at the Fermi level = 0.498 states/eV/atom

Unit cell a=3.6021 b=3.6021 c=3.6021 alpha=60.00 beta=60.00 gamma=60.00
Sites, in units of the cell vectors:
Li 0.0000 0.0000 0.0000
N 0.2500 0.2500 0.2500
Tc 0.5000 0.5000 0.5000
N 0.7500 0.7500 0.7500